A relaxed structure of LaThCu10, computed with PBE.

Energy ... -4.5864 eV/atom
Space-group type ... No. 47
Mass density ... 8.8 g/cm3
Crystal system ... orthorhombic

a = 4.124 Å, b = 5.180 Å, c = 8.886 Å
α = 90.00°, β = 90.00°, γ = 90.00°
Atoms (fractional coordinates):
La1 0.000 0.000 0.000
Th1 0.000 0.500 0.500
Cu1 0.000 0.000 0.335
Cu2 0.000 0.000 0.665
Cu3 0.000 0.500 0.167
Cu4 0.000 0.500 0.833
Cu5 0.500 0.000 0.500
Cu6 0.500 0.253 0.255
Cu7 0.500 0.253 0.745
Cu8 0.500 0.500 0.000
Cu9 0.500 0.747 0.255
Cu10 0.500 0.747 0.745

---

A relaxed structure of BeFeSiIr, computed with PBE.

Space-group type ... No. 216
Mass density ... 10.8 g/cm3
Crystal system ... cubic
Formation energy (no corrections) ... -13.03 kcal/mol of atoms

a = 5.600 Å, b = 5.600 Å, c = 5.600 Å
α = 90.00°, β = 90.00°, γ = 90.00°
Atoms (fractional coordinates):
Be1 0.000 0.000 0.000
Be2 0.000 0.500 0.500
Be3 0.500 0.000 0.500
Be4 0.500 0.500 0.000
Fe1 0.250 0.250 0.750
Fe2 0.250 0.750 0.250
Fe3 0.750 0.250 0.250
Fe4 0.750 0.750 0.750
Si1 0.000 0.000 0.500
Si2 0.000 0.500 0.000
Si3 0.500 0.000 0.000
Si4 0.500 0.500 0.500
Ir1 0.250 0.250 0.250
Ir2 0.250 0.750 0.750
Ir3 0.750 0.250 0.750
Ir4 0.750 0.750 0.250

---

A relaxed structure of LaCd2Pb, computed with PBE.

Energy ... -2.9624 eV/atom
Space-group type ... No. 139
Mass density ... 8.5 g/cm3
Crystal system ... tetragonal

a = 4.775 Å, b = 4.775 Å, c = 9.828 Å
α = 90.00°, β = 90.00°, γ = 90.00°
Atoms (fractional coordinates):
La1 0.000 0.000 0.000
La2 0.500 0.500 0.500
Cd1 0.000 0.500 0.250
Cd2 0.000 0.500 0.750
Cd3 0.500 0.000 0.250
Cd4 0.500 0.000 0.750
Pb1 0.000 0.000 0.500
Pb2 0.500 0.500 0.000

---

A relaxed structure of HfCrCl2, computed with PBE.

Space-group type ... No. 166
Distance to the lowest polymorph of the same formula ... 0.057 eV/atom
Mass density ... 7.2 g/cm3
Crystal system ... trigonal
Formation energy (no corrections) ... -2.35 kcal/mol of atoms

a = 3.094 Å, b = 3.094 Å, c = 25.261 Å
α = 90.00°, β = 90.00°, γ = 120.00°
Atoms (fractional coordinates):
Hf1 0.000 0.000 0.000
Hf2 0.333 0.667 0.667
Hf3 0.667 0.333 0.333
Cr1 0.000 0.000 0.500
Cr2 0.333 0.667 0.167
Cr3 0.667 0.333 0.833
Cl1 0.000 0.000 0.409
Cl2 0.000 0.000 0.591
Cl3 0.333 0.667 0.076
Cl4 0.333 0.667 0.257
Cl5 0.667 0.333 0.743
Cl6 0.667 0.333 0.924

---

A relaxed structure of BiB2Rh2, computed with PBE.

Energy ... -6.4534 eV/atom
Space-group type ... No. 139
Mass density ... 10.1 g/cm3
Crystal system ... tetragonal

a = 3.087 Å, b = 3.087 Å, c = 15.012 Å
α = 90.00°, β = 90.00°, γ = 90.00°
Atoms (fractional coordinates):
Bi1 0.000 0.000 0.000
Bi2 0.500 0.500 0.500
B1 0.000 0.500 0.250
B2 0.000 0.500 0.750
B3 0.500 0.000 0.250
B4 0.500 0.000 0.750
Rh1 0.000 0.000 0.348
Rh2 0.000 0.000 0.652
Rh3 0.500 0.500 0.152
Rh4 0.500 0.500 0.848

---

A relaxed structure of NaPmBi4, computed with PBE.

Energy ... -3.7289 eV/atom
Space-group type ... No. 216
Mass density ... 8.2 g/cm3
Crystal system ... cubic

a = 6.594 Å, b = 6.594 Å, c = 6.594 Å
α = 60.00°, β = 60.00°, γ = 60.00°
Atoms (fractional coordinates):
Na1 0.000 0.000 0.000
Pm1 0.750 0.750 0.750
Bi1 0.375 0.375 0.375
Bi2 0.375 0.375 0.876
Bi3 0.375 0.876 0.375
Bi4 0.876 0.375 0.375